Entry 1:
Density functional theory data (PBEsol) for LaTeSe2 after structural relaxation.

The structure in extended XYZ format:
```
4
Lattice="-4.1639 -0.4278 0.0965 0.4336 -4.1543 0.2910 0.0970 0.4401 6.1383" Properties=species:S:1:pos:R:3 pbc="T T T"
Se 0.0912 0.4138 5.7707
Se -1.8326 -2.1432 2.2556
Te 0.0405 0.1836 2.5605
La -1.7869 -1.9359 5.1465
```

The calculation puts the energy relative to the elements, uncorrected at -0.98 eV per atom. Its space-group type is P4mm. The raw total energy comes out at -5.1220 eV per atom. The spin magnetization comes out at 0.00 Bohr magnetons per cell. The density of states at the Fermi level is 2.12 states/eV/cell.

---

Entry 2:
Density functional theory data (PBEsol) for La2TeSe after structural relaxation.

The structure in extended XYZ format:
```
4
Lattice="-1.8503 2.9502 2.1394 -2.5789 -3.2006 2.1832 5.2264 -1.9534 3.3100" Properties=species:S:1:pos:R:3 pbc="T T T"
Te 2.3021 -0.2560 2.3440
La 0.0408 -0.0045 0.0415
La -0.2003 -0.3492 4.2122
Se 2.9561 -2.0724 5.4144
```

The calculation puts the energy relative to the elements, uncorrected at -1.62 eV per atom. Its space-group type is Amm2. The raw total energy comes out at -6.1341 eV per atom. The spin magnetization comes out at 0.00 Bohr magnetons per cell. The density of states at the Fermi level is 3.22 states/eV/cell. Its energy above the most stable polymorph in this dataset is 19.2 kJ/mol of atoms.

---

Entry 3:
Density functional theory data (PBEsol) for LaTeSe2 after structural relaxation.

The structure in extended XYZ format:
```
4
Lattice="-3.3905 -2.3965 -1.2543 -0.9771 -3.6536 2.1232 -6.5703 2.4385 5.6023" Properties=species:S:1:pos:R:3 pbc="T T T"
Se -5.9889 -4.6379 2.5531
Se -4.9491 1.0262 3.9182
Te 0.0000 0.0000 0.0000
La -5.4690 -1.8059 3.2357
```

The calculation puts the energy relative to the elements, uncorrected at -0.94 eV per atom. Its space-group type is R-3m. The raw total energy comes out at -5.0857 eV per atom. The spin magnetization comes out at 0.00 Bohr magnetons per cell. The density of states at the Fermi level is 3.07 states/eV/cell.

---

Entry 4:
Density functional theory data (PBEsol) for LaTe2Se after structural relaxation.

The structure in extended XYZ format:
```
4
Lattice="4.5849 0.0000 0.0000 2.2925 3.9707 0.0000 2.2925 1.3236 8.9005" Properties=species:S:1:pos:R:3 pbc="T T T"
Se 0.0000 0.0000 0.0000
Te 2.2925 1.3236 6.2125
Te 6.8774 3.9707 2.6879
La 4.5849 2.6471 4.4502
```

The calculation puts the energy relative to the elements, uncorrected at -0.55 eV per atom. Its space-group type is R-3m. The raw total energy comes out at -4.6147 eV per atom. The spin magnetization comes out at 0.78 Bohr magnetons per cell. The density of states at the Fermi level is 4.22 states/eV/cell.

---

Entry 5:
Density functional theory data (PBEsol) for LaTe2Se after structural relaxation.

The structure in extended XYZ format:
```
4
Lattice="-3.7410 1.9930 0.9425 -0.2551 -2.2352 3.7140 4.8686 4.2431 0.3497" Properties=species:S:1:pos:R:3 pbc="T T T"
Te 1.3077 0.9434 3.1960
Te -0.4352 3.0575 1.8102
Se 0.0000 0.0000 0.0000
La -1.9981 -0.1211 2.3282
```

The calculation puts the energy relative to the elements, uncorrected at -1.09 eV per atom. Its space-group type is I4/mmm. The raw total energy comes out at -5.1522 eV per atom. The spin magnetization comes out at 0.00 Bohr magnetons per cell. The density of states at the Fermi level is 1.72 states/eV/cell.

---

Entry 6:
Density functional theory data (PBEsol) for LaTe2Se after structural relaxation.

The structure in extended XYZ format:
```
4
Lattice="-1.4903 1.3129 4.6119 -4.3736 -1.6865 1.8004 0.5770 -4.4898 4.1982" Properties=species:S:1:pos:R:3 pbc="T T T"
Te -3.8037 -3.9260 8.0893
Te 0.4500 -4.2709 4.0948
Se -1.1684 -1.4802 2.7774
La -2.8313 -2.1077 5.1523
```

The calculation puts the energy relative to the elements, uncorrected at -0.79 eV per atom. Its space-group type is R3m. The raw total energy comes out at -4.8561 eV per atom. The spin magnetization comes out at 0.00 Bohr magnetons per cell. The density of states at the Fermi level is 2.50 states/eV/cell.

---

Entry 7:
Density functional theory data (PBEsol) for LaTe2Se after structural relaxation.

The structure in extended XYZ format:
```
8
Lattice="4.2697 0.0000 0.0000 0.0000 4.2705 0.0000 -2.1348 0.0000 12.7432" Properties=species:S:1:pos:R:3 pbc="T T T"
La 0.0000 3.2029 4.5433
La 2.1348 1.0676 8.2000
Se 2.1348 1.0676 5.1797
Se 0.0000 3.2029 7.5635
Te 0.0000 1.0676 10.8584
Te 0.0000 1.0676 1.8829
Te 2.1348 3.2029 10.8604
Te 2.1348 3.2029 1.8848
```

The calculation puts the energy relative to the elements, uncorrected at -1.27 eV per atom. Its space-group type is Cmcm. The raw total energy comes out at -5.3284 eV per atom. The spin magnetization comes out at 0.00 Bohr magnetons per cell. The density of states at the Fermi level is 1.31 states/eV/cell.

---

Entry 8:
Density functional theory data (PBEsol) for La2TeSe after structural relaxation.

The structure in extended XYZ format:
```
4
Lattice="-0.9411 -2.8738 -3.1868 4.1601 0.1894 -1.3993 1.4915 -4.7000 3.7980" Properties=species:S:1:pos:R:3 pbc="T T T"
Se 0.5596 -1.7633 1.4249
La 2.1687 -3.1043 -0.8691
La 1.3051 -4.1127 3.3234
Te 2.9144 -5.4542 1.0298
```

The calculation puts the energy relative to the elements, uncorrected at -1.76 eV per atom. Its space-group type is P4/mmm. The raw total energy comes out at -6.2794 eV per atom. The spin magnetization comes out at 0.00 Bohr magnetons per cell. The density of states at the Fermi level is 2.60 states/eV/cell. Its energy above the most stable polymorph in this dataset is 5.2 kJ/mol of atoms.

---

Entry 9:
Density functional theory data (PBEsol) for La2TeSe after structural relaxation.

The structure in extended XYZ format:
```
4
Lattice="4.3620 0.0000 0.0000 2.1810 3.7776 0.0000 2.1810 1.2592 7.2443" Properties=species:S:1:pos:R:3 pbc="T T T"
La 2.1810 1.2592 2.0094
La 6.5430 3.7776 5.2349
Se 4.3620 2.5184 3.6221
Te 0.0000 0.0000 0.0000
```

The calculation puts the energy relative to the elements, uncorrected at -1.82 eV per atom. Its space-group type is R-3m. The raw total energy comes out at -6.3331 eV per atom. The spin magnetization comes out at 0.00 Bohr magnetons per cell. The density of states at the Fermi level is 1.91 states/eV/cell. Its energy above the most stable polymorph in this dataset is 0.0 kJ/mol of atoms.

---

Entry 10:
Density functional theory data (PBEsol) for La2ThSe5 after structural relaxation.

The structure in extended XYZ format:
```
32
Lattice="-3.7901 6.1006 -3.1914 -7.4494 -3.0295 3.0558 1.6448 6.4803 10.4341" Properties=species:S:1:pos:R:3 pbc="T T T"
La -4.6176 6.0919 6.9099
La -8.3314 4.5816 8.4333
La -1.2633 4.9698 1.8652
La -4.9771 3.4595 3.3886
La -7.1228 5.5604 0.2759
La 1.2419 5.5013 8.4992
La -2.4719 3.9910 10.0226
La -10.8366 4.0501 1.7993
Se -3.0840 5.7661 4.2530
Se -1.4436 2.4984 0.0773
Se -8.1511 7.0529 10.2212
Se -6.5542 6.0400 3.2395
Se -7.8087 3.0265 2.1289
Se -4.1397 4.9056 0.8265
Se -3.0405 3.5113 7.0590
Se -0.0046 4.7460 5.8136
Se -3.8611 11.5807 8.1233
Se -7.6073 7.2662 6.8231
Se -1.9874 2.2852 3.4754
Se -9.5901 4.8054 4.4849
Se -3.7279 8.8067 5.6978
Se -1.7860 6.5248 8.1696
Se -6.5106 3.7853 6.0455
Se -4.4795 1.2638 1.3227
Se -5.1151 8.2876 8.9758
Se -5.4550 4.6458 9.4720
Se -5.7336 -2.0293 2.1752
Se -5.8667 0.7446 4.6007
Th -2.4258 9.1826 9.2449
Th -4.5510 8.0396 2.9308
Th -7.1689 0.3688 1.0536
Th -5.0437 1.5118 7.3677
```

The calculation puts the energy relative to the elements, uncorrected at -1.97 eV per atom. Its space-group type is Pnma. The raw total energy comes out at -6.7259 eV per atom. The spin magnetization comes out at 0.00 Bohr magnetons per cell.

---

Entry 11:
Density functional theory data (PBEsol) for LaTlSe2 after structural relaxation.

The structure in extended XYZ format:
```
4
Lattice="-0.0766 -3.5074 1.2994 3.5489 0.3420 1.1323 -2.3625 2.5180 6.6443" Properties=species:S:1:pos:R:3 pbc="T T T"
Se -0.7322 -2.8076 3.1430
Se -1.7068 1.8181 4.8006
Tl 1.7362 -1.5827 1.2158
La 0.5549 -0.3237 4.5380
```

The calculation puts the energy relative to the elements, uncorrected at -1.27 eV per atom. Its space-group type is P4/mmm. The raw total energy comes out at -5.1884 eV per atom. The spin magnetization comes out at 0.00 Bohr magnetons per cell. The density of states at the Fermi level is 0.53 states/eV/cell.

---

Entry 12:
Density functional theory data (PBEsol) for LaTlSe2 after structural relaxation.

The structure in extended XYZ format:
```
4
Lattice="4.1222 0.0000 0.0000 0.0000 4.5455 0.0000 -2.0611 0.0000 5.5792" Properties=species:S:1:pos:R:3 pbc="T T T"
La 2.0611 2.2728 2.4532
Tl 2.0611 0.0000 0.1107
Se 0.0000 2.2728 0.0539
Se 0.0000 0.0000 2.9613
```

The calculation puts the energy relative to the elements, uncorrected at -1.34 eV per atom. Its space-group type is Amm2. The raw total energy comes out at -5.2619 eV per atom. The spin magnetization comes out at 0.00 Bohr magnetons per cell. The density of states at the Fermi level is 0.10 states/eV/cell.

---

Entry 13:
Density functional theory data (PBEsol) for LaTlSe2 after structural relaxation.

The structure in extended XYZ format:
```
4
Lattice="4.4852 0.0000 0.0000 2.2426 3.8843 0.0000 2.2426 1.2948 7.2214" Properties=species:S:1:pos:R:3 pbc="T T T"
La 2.2426 1.2948 1.7221
Se 6.7278 3.8843 4.8738
Se 6.7278 3.8843 0.4864
Tl 4.4852 2.5895 3.7499
```

The calculation puts the energy relative to the elements, uncorrected at -0.90 eV per atom. Its space-group type is R3m. The raw total energy comes out at -4.8166 eV per atom. The spin magnetization comes out at 0.00 Bohr magnetons per cell.

---

Entry 14:
Density functional theory data (PBEsol) for LaTl2Se after structural relaxation.

The structure in extended XYZ format:
```
4
Lattice="-3.5197 0.6462 -2.5141 -1.4984 -3.9645 1.0789 -2.6421 2.1560 4.2531" Properties=species:S:1:pos:R:3 pbc="T T T"
La -3.8301 -0.5811 1.4089
Tl -0.7492 -1.9822 0.5394
Tl -1.7599 0.3231 -1.2570
Se -1.3211 1.0780 2.1266
```

The calculation puts the energy relative to the elements, uncorrected at -0.74 eV per atom. Its space-group type is P4/mmm. The raw total energy comes out at -4.3538 eV per atom. The spin magnetization comes out at 0.00 Bohr magnetons per cell. The density of states at the Fermi level is 3.07 states/eV/cell.